No. 1
Material: YSc2Cu
Method: DFT, PBE-GGA
State: optimized geometry

Cell lengths 7.0915, 7.0915, 7.0915 Å; angles 90.00, 90.00, 90.00 degrees
Closest atoms and distances in Å follow each position.
Space group Fm-3m (No. 225)
Unique sites:
Y  0.0000  0.0000  0.0000 (multiplicity 4)  8 Sc 3.07
Sc  0.2500  0.2500  0.2500 (multiplicity 8)  4 Cu 3.07, 4 Y 3.07
Cu  0.0000  0.0000  0.5000 (multiplicity 4)  8 Sc 3.07

- ρ (Mg/m³) = 4.51
- ΔH_f (0 K) (meV per atom) = 214
- total energy (eV per cell) = -89.5

No. 2
Material: YSc2Cu2
Method: DFT, PBE-GGA
State: optimized geometry

Cell lengths 4.4528, 4.4528, 10.7464 Å; angles 90.00, 90.00, 90.00 degrees
Closest atoms and distances in Å follow each position.
Space group I4/mmm (No. 139)
Unique sites:
Y  0.0000  0.0000  0.0000 (multiplicity 2)  8 Cu 3.36, 8 Sc 3.49
Sc  0.0000  0.5000  0.2500 (multiplicity 4)  4 Cu 2.70
Cu  0.0000  0.0000  0.3920 (multiplicity 4)  1 Cu 2.32

- ρ (Mg/m³) = 4.77
- ΔH_f (0 K) (meV per atom) = -94
- total energy (eV per cell) = -55.6

No. 3
Material: YSc2Cu6
Method: DFT, PBE-GGA
State: optimized geometry

Cell lengths 3.3525, 7.0426, 12.9768 Å; angles 90.00, 90.00, 90.00 degrees
Closest atoms and distances in Å follow each position.
Space group Immm (No. 71)
Unique sites:
Y  0.0000  0.0000  0.0000 (multiplicity 2)  12 Cu 2.83-3.14
Sc  0.0000  0.5000  0.1380 (multiplicity 4)  10 Cu 2.72-2.82
Cu  0.0000  0.1755  0.5000 (multiplicity 4)  3 Cu 2.47-2.51, 4 Sc 2.75
Cu  0.0000  0.3140  0.3219 (multiplicity 8)  4 Cu 2.51-2.67, 1 Sc 2.72

- ρ (Mg/m³) = 6.07
- ΔH_f (0 K) (meV per atom) = -144
- total energy (eV per cell) = -90.0